(1)
Entry from Alexandria via LeMat-Bulk: CdCu2Se after structural relaxation (PBE).

Summary:
ΔE_f (raw), eV/atom: 0.116
Excess energy over the best structure of this formula in the dataset, meV/atom: 126
Crystal system: tetragonal

Geometry as POSCAR:
```
CdCu2Se
1.0
3.437 0.000 0.000
0.000 3.437 0.000
0.000 0.000 5.606
Cd Cu Se
1 2 1
Cartesian
0.000 0.000 0.000 Cd
1.718 1.718 1.472 Cu
1.718 1.718 4.134 Cu
0.000 0.000 2.803 Se
```

=====

(2)
Entry from Alexandria via LeMat-Bulk: CdCuSe2 after structural relaxation (PBE).

Summary:
ΔE_f (raw), eV/atom: -0.330
Crystal system: tetragonal

Geometry as POSCAR:
```
CdCuSe2
1.0
5.891 0.000 0.000
0.000 5.891 0.000
0.000 0.000 11.519
Cd Cu Se
4 4 8
Cartesian
0.000 0.000 0.000 Cd
0.000 2.945 2.880 Cd
2.945 0.000 8.639 Cd
2.945 2.945 5.759 Cd
0.000 0.000 5.759 Cu
0.000 2.945 8.639 Cu
2.945 0.000 2.880 Cu
2.945 2.945 0.000 Cu
1.234 1.473 7.199 Se
1.473 4.179 10.079 Se
1.473 4.657 4.319 Se
1.711 1.473 1.440 Se
4.179 4.418 1.440 Se
4.418 1.234 4.319 Se
4.418 1.711 10.079 Se
4.657 4.418 7.199 Se
```

=====

(3)
Entry from Alexandria via LeMat-Bulk: CdCuSe2 after structural relaxation (PBE).

Summary:
ΔE_f (raw), eV/atom: -0.108
Crystal system: trigonal

Geometry as POSCAR:
```
CdCuSe2
1.0
4.112 0.000 0.000
-2.056 3.561 0.000
0.000 0.000 22.367
Cd Cu Se
3 3 6
Cartesian
0.000 0.000 0.000 Cd
0.000 2.374 14.911 Cd
2.056 1.187 7.456 Cd
0.000 0.000 11.184 Cu
0.000 2.374 3.728 Cu
2.056 1.187 18.639 Cu
0.000 0.000 8.951 Se
0.000 0.000 13.416 Se
0.000 2.374 1.495 Se
0.000 2.374 5.961 Se
2.056 1.187 16.407 Se
2.056 1.187 20.872 Se
```

=====

(4)
Entry from Alexandria via LeMat-Bulk: CdCu2Se after structural relaxation (PBE).

Summary:
ΔE_f (raw), eV/atom: -0.010
Excess energy over the best structure of this formula in the dataset, meV/atom: 0
Crystal system: tetragonal

Geometry as POSCAR:
```
CdCu2Se
1.0
3.732 0.000 0.000
0.000 3.732 0.000
0.000 0.000 5.224
Cd Cu Se
1 2 1
Cartesian
0.000 0.000 0.000 Cd
0.000 1.866 2.034 Cu
1.866 0.000 2.034 Cu
1.866 1.866 3.690 Se
```

=====

(5)
Entry from Alexandria via LeMat-Bulk: CdCu2Se after structural relaxation (PBE).

Summary:
ΔE_f (raw), eV/atom: 0.115
Excess energy over the best structure of this formula in the dataset, meV/atom: 125
Crystal system: monoclinic

Geometry as POSCAR:
```
CdCu2Se
1.0
6.523 0.000 0.000
0.000 3.859 0.000
-2.332 0.000 5.865
Cd Cu Se
2 4 2
Cartesian
0.000 0.000 0.000 Cd
3.261 1.930 0.000 Cd
-0.117 0.000 4.147 Cu
1.046 1.930 1.718 Cu
3.144 1.930 4.147 Cu
4.308 0.000 1.718 Cu
-1.166 1.930 2.932 Se
2.095 0.000 2.932 Se
```

=====

(6)
Entry from Alexandria via LeMat-Bulk: CdCu2Se after structural relaxation (PBE).

Summary:
ΔE_f (raw), eV/atom: 0.111
Excess energy over the best structure of this formula in the dataset, meV/atom: 121
Crystal system: tetragonal

Geometry as POSCAR:
```
CdCu2Se
1.0
5.461 0.000 0.000
0.000 5.461 0.000
0.000 0.000 12.905
Cd Cu Se
4 8 4
Cartesian
0.000 0.000 0.000 Cd
0.000 2.731 3.226 Cd
2.731 0.000 9.679 Cd
2.731 2.731 6.452 Cd
0.933 1.365 8.066 Cu
1.365 3.663 11.292 Cu
1.365 4.528 4.839 Cu
1.798 1.365 1.613 Cu
3.663 4.096 1.613 Cu
4.096 0.933 4.839 Cu
4.096 1.798 11.292 Cu
4.528 4.096 8.066 Cu
0.000 0.000 6.452 Se
0.000 2.731 9.679 Se
2.731 0.000 3.226 Se
2.731 2.731 0.000 Se
```

=====

(7)
Entry from Alexandria via LeMat-Bulk: CdCu2Se after structural relaxation (PBE).

Summary:
ΔE_f (raw), eV/atom: 0.075
Excess energy over the best structure of this formula in the dataset, meV/atom: 85
Crystal system: monoclinic

Geometry as POSCAR:
```
CdCu2Se
1.0
3.503 0.000 0.000
0.000 3.794 0.000
-0.008 0.000 5.519
Cd Cu Se
1 2 1
Cartesian
0.000 0.000 0.000 Cd
1.749 1.897 1.214 Cu
1.746 1.897 4.305 Cu
1.748 0.000 2.759 Se
```

=====

(8)
Entry from Alexandria via LeMat-Bulk: CdCuSe after structural relaxation (PBE).

Summary:
ΔE_f (raw), eV/atom: 0.128
Excess energy over the best structure of this formula in the dataset, meV/atom: 271
Crystal system: tetragonal

Geometry as POSCAR:
```
CdCuSe
1.0
3.799 0.000 0.000
0.000 3.799 0.000
0.000 0.000 8.135
Cd Cu Se
2 2 2
Cartesian
0.000 0.000 0.000 Cd
1.900 1.900 4.067 Cd
0.000 0.000 5.388 Cu
1.900 1.900 1.320 Cu
0.000 0.000 2.824 Se
1.900 1.900 6.891 Se
```

=====

(9)
Entry from Alexandria via LeMat-Bulk: Cd2CuSe after structural relaxation (PBE).

Summary:
ΔE_f (raw), eV/atom: 0.127
Crystal system: tetragonal

Geometry as POSCAR:
```
Cd2CuSe
1.0
3.024 0.000 0.000
0.000 3.024 0.000
0.000 0.000 8.750
Cd Cu Se
2 1 1
Cartesian
0.000 0.000 1.821 Cd
0.000 0.000 6.929 Cd
1.512 1.512 0.000 Cu
1.512 1.512 4.375 Se
```

=====

(10)
Entry from Alexandria via LeMat-Bulk: CdCu2Se after structural relaxation (PBE).

Summary:
ΔE_f (raw), eV/atom: 0.186
Excess energy over the best structure of this formula in the dataset, meV/atom: 196
Crystal system: cubic

Geometry as POSCAR:
```
CdCu2Se
1.0
6.467 0.000 0.000
0.000 6.467 0.000
0.000 0.000 6.467
Cd Cu Se
4 8 4
Cartesian
0.000 0.000 0.000 Cd
0.000 3.233 3.233 Cd
3.233 0.000 3.233 Cd
3.233 3.233 0.000 Cd
1.617 1.617 1.617 Cu
1.617 1.617 4.850 Cu
1.617 4.850 1.617 Cu
1.617 4.850 4.850 Cu
4.850 1.617 1.617 Cu
4.850 1.617 4.850 Cu
4.850 4.850 1.617 Cu
4.850 4.850 4.850 Cu
0.000 0.000 3.233 Se
0.000 3.233 0.000 Se
3.233 0.000 0.000 Se
3.233 3.233 3.233 Se
```

=====

(11)
Entry from Alexandria via LeMat-Bulk: CdCuSe2 after structural relaxation (PBE).

Summary:
ΔE_f (raw), eV/atom: 0.213
Crystal system: tetragonal

Geometry as POSCAR:
```
CdCuSe2
1.0
3.427 0.000 0.000
0.000 3.427 0.000
0.000 0.000 6.655
Cd Cu Se
1 1 2
Cartesian
0.000 0.000 0.000 Cd
0.000 0.000 3.328 Cu
1.714 1.714 1.827 Se
1.714 1.714 4.828 Se
```

=====

(12)
Entry from Alexandria via LeMat-Bulk: CdCu2Se2 after structural relaxation (PBE).

Summary:
ΔE_f (raw), eV/atom: 0.223
Excess energy over the best structure of this formula in the dataset, meV/atom: 429
Crystal system: tetragonal

Geometry as POSCAR:
```
CdCu2Se2
1.0
4.097 0.000 0.000
0.000 4.097 0.000
0.000 0.000 11.346
Cd Cu Se
2 4 4
Cartesian
0.000 0.000 0.000 Cd
2.048 2.048 5.673 Cd
0.000 0.000 4.452 Cu
0.000 0.000 6.895 Cu
2.048 2.048 1.221 Cu
2.048 2.048 10.125 Cu
0.000 2.048 2.837 Se
0.000 2.048 8.510 Se
2.048 0.000 2.837 Se
2.048 0.000 8.510 Se
```